# 1
Density functional theory data (PBE) for a geometry-optimized CeEr2Tl2 structure.

Summary:
spin magnetization = 0.5 μB/f.u.
offset from the most stable computed form = 1.50 eV per formula unit
DFT formation energy = 6.8 kJ per mole of atoms

CIF file:
```
data_CeEr2Tl2
_chemical_formula_sum 'Ce2 Er4 Tl4'
_cell_length_a 5.1282
_cell_length_b 5.1282
_cell_length_c 12.6597
_cell_angle_alpha 90.00
_cell_angle_beta 90.00
_cell_angle_gamma 120.00
_space_group_name_H-M_alt 'P 63/m m c'
_space_group_IT_number 194
_space_group_name_Hall '-P 6c 2c'
loop_
_atom_site_label
_atom_site_fract_x
_atom_site_fract_y
_atom_site_fract_z
Ce1 0.0000 0.0000 0.2500
Er1 0.0000 0.0000 0.0000
Er2 0.3333 0.6667 0.2500
Tl1 0.3333 0.6667 0.6224
```


# 2
Density functional theory data (PBE) for a geometry-optimized Ac2Zn6Ga3 structure.

Summary:
spin magnetization = 0.0 μB/f.u.
DFT formation energy = -32.5 kJ per mole of atoms

CIF file:
```
data_Ac2Zn6Ga3
_chemical_formula_sum 'Ac2 Zn6 Ga3'
_cell_length_a 7.9272
_cell_length_b 7.9272
_cell_length_c 4.2849
_cell_angle_alpha 90.00
_cell_angle_beta 90.00
_cell_angle_gamma 120.00
_space_group_name_H-M_alt 'P -6 2 m'
_space_group_IT_number 189
_space_group_name_Hall 'P -6 -2'
loop_
_atom_site_label
_atom_site_fract_x
_atom_site_fract_y
_atom_site_fract_z
Ac1 0.3333 0.6667 0.0000
Zn1 0.0000 0.2941 0.5000
Zn2 0.0000 0.8145 0.0000
Ga1 0.0000 0.6357 0.5000
```


# 3
Density functional theory data (PBE) for a geometry-optimized ScAgAs3 structure.

Summary:
spin magnetization = 0.0 μB/f.u.
offset from the most stable computed form = 0.79 eV per formula unit
DFT formation energy = 46.5 kJ per mole of atoms

CIF file:
```
data_ScAgAs3
_chemical_formula_sum 'Sc1 Ag1 As3'
_cell_length_a 4.960
_cell_length_b 4.960
_cell_length_c 4.960
_cell_angle_alpha 90.00
_cell_angle_beta 90.00
_cell_angle_gamma 90.00
_space_group_name_H-M_alt 'P m -3 m'
_space_group_IT_number 221
_space_group_name_Hall '-P 4 2 3'
loop_
_atom_site_label
_atom_site_fract_x
_atom_site_fract_y
_atom_site_fract_z
Sc1 0.000 0.000 0.000
Ag1 0.500 0.500 0.500
As1 0.000 0.500 0.500
```